Material: BaSmAgO3
Method: DFT, PBE-GGA
State: optimized geometry

Computed properties:
energy = -6.352 eV per atom
ΔE_f (raw) = -2.291 eV/atom

Cell: 7.018 3.738 9.448 Å, 90.00 104.60 90.00°
Space group P2_1/m (No. 11)
Asymmetric unit:
Ba  0.040  0.250  0.309 x2
Sm  0.463  0.250  0.659 x2
Ag  0.312  0.250  0.997 x2
O  0.211  0.250  0.771 x2
O  0.305  0.750  0.498 x2
O  0.363  0.250  0.223 x2



Material: KZnGaAu
Method: DFT, PBE-GGA
State: optimized geometry

Computed properties:
formation energy from the elements = -0.233 eV/atom
energy = -2.402 eV per atom

Cell: 7.817 4.514 6.689 Å, 90.00 113.06 90.00°
Space group Cm (No. 8)
Asymmetric unit:
K  0.000  0.000  0.000 x2
Zn  0.187  0.000  0.555 x2
Ga  0.478  0.000  0.429 x2
Au  0.319  0.500  0.452 x2



Question: Which of these has the lowest energy?
Answer: BaSmAgO3